Here is crystalline GaNiBi2O6 at its relaxed geometry from the Alexandria database. Energies are from PBE with a Hubbard U.

Results
The density of states at the Fermi level comes out at 2.8 states/eV/f.u. The calculation puts the calculated volume at 12.72 A^3/atom. For the energy, the calculation gives -5.547 eV per atom.

Lattice parameters (Å, degrees): 5.7298 5.7298 5.7298 58.10 58.10 58.10
Last column: nearest neighbours and their distance in Å.
Element x y z (fractional)
Ga (0.0000, 0.0000, 0.0000)  6 O 1.96-2.11
Ni (0.4990, 0.4990, 0.4990)  6 O 2.08-2.16
Bi (0.2845, 0.2845, 0.2845)  6 O 2.28-2.32
Bi (0.7781, 0.7781, 0.7781)  6 O 2.37-2.42
O (0.1557, 0.3200, 0.7181)  1 Ga 1.96, 1 Ni 2.16
O (0.2077, 0.8517, 0.6453)  1 Ni 2.08, 1 Ga 2.11, 1 Bi 2.32
O (0.3200, 0.7181, 0.1557)  1 Ga 1.96, 1 Ni 2.16
O (0.6453, 0.2077, 0.8517)  1 Ni 2.08, 1 Ga 2.11, 1 Bi 2.32
O (0.7181, 0.1557, 0.3200)  1 Ga 1.96, 1 Ni 2.16
O (0.8517, 0.6453, 0.2077)  1 Ni 2.08, 1 Ga 2.11, 1 Bi 2.32